Entry from the Alexandria database: an optimized crystal structure of MgNiO2 (GGA+U).

Computed properties:
**SG**: No. 113
**Total energy**: -5.2396 eV per atom
**Spin magnetization**: 2.00 μB per formula unit
**DOS at the Fermi energy**: 0.00 states/eV per atom

abc: 5.1405 5.1405 3.1033
angles: 90.00 90.00 90.00
Element x y z (fractional)
Mg 0.0000 0.0000 0.0000
Mg 0.5000 0.5000 0.0000
Ni 0.0000 0.5000 0.3003
Ni 0.5000 0.0000 0.6997
O 0.2041 0.2959 0.7608
O 0.2959 0.7959 0.2392
O 0.7041 0.2041 0.2392
O 0.7959 0.7041 0.7608